Entry 1:
Crystalline ScRuC2 at its relaxed geometry, computed with PBE.

Output
Energy: -131.88 eV per cell

Structure (CIF):
```
data_ScRuC2
_cell_length_a 4.778
_cell_length_b 4.778
_cell_length_c 9.764
_cell_angle_alpha 90.00
_cell_angle_beta 90.00
_cell_angle_gamma 90.00
_space_group_name_H-M_alt 'I -4 2 d'
_space_group_IT_number 122
_space_group_name_Hall 'I -4 2bw'
loop_
_atom_site_label
_atom_site_type_symbol
_atom_site_fract_x
_atom_site_fract_y
_atom_site_fract_z
Sc1 Sc 0.000 0.000 0.000
Ru1 Ru 0.000 0.000 0.500
C1 C 0.194 0.250 0.625
```

Entry 2:
Crystalline NdMnC2 at its relaxed geometry, computed with PBE.

Output
Energy: -92.59 eV per cell

Structure (CIF):
```
data_NdMnC2
_cell_length_a 3.3539
_cell_length_b 3.3539
_cell_length_c 15.7145
_cell_angle_alpha 90.00
_cell_angle_beta 90.00
_cell_angle_gamma 120.00
_space_group_name_H-M_alt 'R -3 m'
_space_group_IT_number 166
_space_group_name_Hall '-R 3 2"'
loop_
_atom_site_label
_atom_site_type_symbol
_atom_site_fract_x
_atom_site_fract_y
_atom_site_fract_z
Nd1 Nd 0.0000 0.0000 0.0000
Mn1 Mn 0.0000 0.0000 0.5000
C1 C 0.0000 0.0000 0.2246
```

Entry 3:
Crystalline NaCa2CrPt at its relaxed geometry, computed with PBE.

Output
Energy: -20.09 eV per cell

Structure (CIF):
```
data_NaCa2CrPt
_cell_length_a 5.489
_cell_length_b 5.489
_cell_length_c 5.415
_cell_angle_alpha 90.00
_cell_angle_beta 90.00
_cell_angle_gamma 90.00
_space_group_name_H-M_alt 'P 4/m m m'
_space_group_IT_number 123
_space_group_name_Hall '-P 4 2'
loop_
_atom_site_label
_atom_site_type_symbol
_atom_site_fract_x
_atom_site_fract_y
_atom_site_fract_z
Na1 Na 0.000 0.000 0.000
Ca1 Ca 0.000 0.500 0.500
Cr1 Cr 0.500 0.500 0.000
Pt1 Pt 0.000 0.000 0.500
```

Entry 4:
Crystalline Mn2Be at its relaxed geometry, computed with PBE.

Output
Energy: -89.05 eV per cell

Structure (CIF):
```
data_Mn2Be
_cell_length_a 8.650
_cell_length_b 2.704
_cell_length_c 5.252
_cell_angle_alpha 90.00
_cell_angle_beta 108.02
_cell_angle_gamma 90.00
_space_group_name_H-M_alt 'C 1 2/m 1'
_space_group_IT_number 12
loop_
_space_group_symop_operation_xyz
'x,y,z'
'-x,-y,-z'
'-x,y,-z'
'x,-y,z'
'x+1/2,y+1/2,z'
'-x+1/2,-y+1/2,-z'
'-x+1/2,y+1/2,-z'
'x+1/2,-y+1/2,z'
loop_
_atom_site_label
_atom_site_type_symbol
_atom_site_fract_x
_atom_site_fract_y
_atom_site_fract_z
Mn1 Mn 0.004 0.000 0.218
Mn2 Mn 0.155 0.500 0.574
Be1 Be 0.189 0.500 0.093
```

Entry 5:
Crystalline Na2LiTl2Cd2 at its relaxed geometry, computed with PBE.

Output
Energy: -35.75 eV per cell

Structure (CIF):
```
data_Na2LiTl2Cd2
_cell_length_a 5.1104
_cell_length_b 5.1104
_cell_length_c 23.0460
_cell_angle_alpha 90.00
_cell_angle_beta 90.00
_cell_angle_gamma 120.00
_space_group_name_H-M_alt 'R -3 m'
_space_group_IT_number 166
_space_group_name_Hall '-R 3 2"'
loop_
_atom_site_label
_atom_site_type_symbol
_atom_site_fract_x
_atom_site_fract_y
_atom_site_fract_z
Na1 Na 0.0000 0.0000 0.1399
Li1 Li 0.0000 0.0000 0.0000
Tl1 Tl 0.0000 0.0000 0.4205
Cd1 Cd 0.0000 0.0000 0.2835
```

Entry 6:
Crystalline Pa7Tc2Sn2 at its relaxed geometry, computed with PBE.

Output
Energy: -187.70 eV per cell

Structure (CIF):
```
data_Pa7Tc2Sn2
_cell_length_a 10.647
_cell_length_b 8.294
_cell_length_c 6.478
_cell_angle_alpha 90.00
_cell_angle_beta 90.08
_cell_angle_gamma 90.00
_space_group_name_H-M_alt 'C 1 2/m 1'
_space_group_IT_number 12
loop_
_space_group_symop_operation_xyz
'x,y,z'
'-x,-y,-z'
'-x,y,-z'
'x,-y,z'
'x+1/2,y+1/2,z'
'-x+1/2,-y+1/2,-z'
'-x+1/2,y+1/2,-z'
'x+1/2,-y+1/2,z'
loop_
_atom_site_label
_atom_site_type_symbol
_atom_site_fract_x
_atom_site_fract_y
_atom_site_fract_z
Pa1 Pa 0.000 0.000 0.000
Pa2 Pa 0.000 0.500 0.248
Pa3 Pa 0.250 0.249 0.722
Tc1 Tc 0.250 0.000 0.001
Sn1 Sn 0.000 0.169 0.500
```

Q: What is the energy in the sixth record?
A: -187.70 eV per cell

Q: Which of these has the highest energy?
A: NaCa2CrPt